## CaYS2O8 (PBE-GGA)

Data for a geometry-optimized CaYS2O8 structure.

a = 5.178 Å, b = 5.178 Å, c = 7.460 Å
α = 90.00°, β = 90.00°, γ = 120.00°
Sites, in units of the cell vectors:
Ca 0.000 0.000 0.000
Y 0.000 0.000 0.500
S 0.333 0.667 0.802
S 0.667 0.333 0.198
O 0.176 0.352 0.736
O 0.176 0.824 0.736
O 0.333 0.667 0.999
O 0.352 0.176 0.264
O 0.648 0.824 0.736
O 0.667 0.333 0.001
O 0.824 0.176 0.264
O 0.824 0.648 0.264

Results
The density of states at the Fermi level is 0.158 states/eV per atom. The value obtained for the total magnetization is 0.42 μB per cell. Its symmetry is P-3m1, No. 164. The formation energy without anion corrections is -1.9835 eV/atom.

=====

## Be2AlCl (PBE-GGA)

Data for a geometry-optimized Be2AlCl structure.

a = 3.022 Å, b = 3.022 Å, c = 9.604 Å
α = 90.00°, β = 90.00°, γ = 124.54°
Sites, in units of the cell vectors:
Be 0.000 0.000 0.000
Be 0.500 0.500 0.191
Al 0.000 0.000 0.412
Cl 0.500 0.500 0.853

Results
Its excess energy over the best structure of this formula in the dataset is 264 meV/atom. The density of states at the Fermi level is 0.282 states/eV per atom. The value obtained for the total magnetization is 0.00 μB per cell. Its symmetry is Cmm2, No. 35. The formation energy without anion corrections is 0.2361 eV/atom.

=====

## Ac2Cd6Hg (PBE-GGA)

Data for a geometry-optimized Ac2Cd6Hg structure.

a = 6.567 Å, b = 6.567 Å, c = 6.550 Å
α = 90.00°, β = 90.00°, γ = 120.00°
Sites, in units of the cell vectors:
Ac 0.333 0.667 0.151
Ac 0.667 0.333 0.849
Cd 0.178 0.355 0.663
Cd 0.178 0.822 0.663
Cd 0.355 0.178 0.337
Cd 0.645 0.822 0.663
Cd 0.822 0.178 0.337
Cd 0.822 0.645 0.337
Hg 0.000 0.000 0.000

Results
The calculated formation energy is -2.4 eV/f.u. The density of states at the Fermi level is 0.582 states/eV per atom. The value obtained for the total magnetization is 0.00 μB per cell. Its symmetry is P-3m1, No. 164.

=====

## DyPaHgOs (PBE-GGA)

Data for a geometry-optimized DyPaHgOs structure.

a = 5.038 Å, b = 5.038 Å, c = 5.038 Å
α = 60.00°, β = 60.00°, γ = 60.00°
Sites, in units of the cell vectors:
Dy 0.000 0.000 0.000
Pa 0.500 0.500 0.500
Hg 0.750 0.750 0.750
Os 0.250 0.250 0.250

Results
The calculated formation energy is -0.2 eV/f.u. The density of states at the Fermi level is 1.210 states/eV per atom. The value obtained for the total magnetization is 0.26 μB per cell. Its symmetry is F-43m, No. 216.

=====

## Cs3Rb4Se (PBE-GGA)

Data for a geometry-optimized Cs3Rb4Se structure.

a = 8.570 Å, b = 15.594 Å, c = 9.515 Å
α = 90.00°, β = 90.00°, γ = 90.00°
Sites, in units of the cell vectors:
Cs 0.250 0.029 0.184
Cs 0.250 0.471 0.184
Cs 0.250 0.750 0.549
Cs 0.750 0.250 0.451
Cs 0.750 0.529 0.816
Cs 0.750 0.971 0.816
Rb 0.002 0.250 0.022
Rb 0.250 0.113 0.601
Rb 0.250 0.387 0.601
Rb 0.498 0.250 0.022
Rb 0.502 0.750 0.978
Rb 0.750 0.613 0.399
Rb 0.750 0.887 0.399
Rb 0.998 0.750 0.978
Se 0.250 0.250 0.308
Se 0.750 0.750 0.692

Results
The density of states at the Fermi level is 0.732 states/eV per atom. The value obtained for the total magnetization is 0.00 μB per cell. Its symmetry is Pmmn, No. 59. The formation energy without anion corrections is -0.3211 eV/atom.

=====

## BaPtAu (PBE-GGA)

Data for a geometry-optimized BaPtAu structure.

a = 4.686 Å, b = 4.686 Å, c = 4.419 Å
α = 90.00°, β = 90.00°, γ = 120.00°
Sites, in units of the cell vectors:
Ba 0.000 0.000 0.000
Pt 0.667 0.333 0.500
Au 0.333 0.667 0.500

Results
The calculated formation energy is -2.0 eV/f.u. Its excess energy over the best structure of this formula in the dataset is 0 meV/atom. The density of states at the Fermi level is 0.485 states/eV per atom. The value obtained for the total magnetization is 0.00 μB per cell. Its symmetry is P-6m2, No. 187.

=====

## Tb5Dy3Y (PBE-GGA)

Data for a geometry-optimized Tb5Dy3Y structure.

a = 9.486 Å, b = 9.486 Å, c = 9.879 Å
α = 120.80°, β = 120.80°, γ = 74.27°
Sites, in units of the cell vectors:
Tb 0.099 0.603 0.252
Tb 0.224 0.224 0.232
Tb 0.243 0.757 0.000
Tb 0.277 0.277 0.959
Tb 0.397 0.901 0.748
Tb 0.603 0.099 0.252
Tb 0.723 0.723 0.041
Tb 0.757 0.243 0.000
Tb 0.776 0.776 0.768
Tb 0.901 0.397 0.748
Dy 0.000 0.000 0.500
Dy 0.009 0.009 0.819
Dy 0.482 0.482 0.642
Dy 0.500 0.500 0.000
Dy 0.518 0.518 0.358
Dy 0.991 0.991 0.181
Y 0.249 0.249 0.596
Y 0.751 0.751 0.404

Results
The calculated formation energy is 4.7 eV/f.u. Its excess energy over the best structure of this formula in the dataset is 384 meV/atom. The density of states at the Fermi level is 1.422 states/eV per atom. The value obtained for the total magnetization is 0.00 μB per cell. Its symmetry is C2/m, No. 12.

=====

## CrNi3Ag (PBE-GGA)

Data for a geometry-optimized CrNi3Ag structure.

a = 4.257 Å, b = 4.257 Å, c = 4.257 Å
α = 90.00°, β = 90.00°, γ = 90.00°
Sites, in units of the cell vectors:
Cr 0.000 0.000 0.000
Ni 0.000 0.000 0.500
Ni 0.000 0.500 0.000
Ni 0.500 0.000 0.000
Ag 0.500 0.500 0.500

Results
The calculated formation energy is 5.2 eV/f.u. Its excess energy over the best structure of this formula in the dataset is 0 meV/atom. The density of states at the Fermi level is 0.954 states/eV per atom. The value obtained for the total magnetization is 0.00 μB per cell. Its symmetry is Pm-3m, No. 221.

=====

## HfReCl2 (PBE-GGA)

Data for a geometry-optimized HfReCl2 structure.

a = 4.499 Å, b = 4.499 Å, c = 4.499 Å
α = 60.00°, β = 60.00°, γ = 60.00°
Sites, in units of the cell vectors:
Hf 0.000 0.000 0.000
Re 0.500 0.500 0.500
Cl 0.250 0.250 0.250
Cl 0.750 0.750 0.750

Results
Its excess energy over the best structure of this formula in the dataset is 805 meV/atom. The density of states at the Fermi level is 2.135 states/eV per atom. The value obtained for the total magnetization is 0.00 μB per cell. Its symmetry is Fm-3m, No. 225. The formation energy without anion corrections is 0.7879 eV/atom.

=====

## LiZn4Rh (PBE-GGA)

Data for a geometry-optimized LiZn4Rh structure.

a = 4.652 Å, b = 4.663 Å, c = 4.728 Å
α = 100.45°, β = 100.70°, γ = 118.62°
Sites, in units of the cell vectors:
Li 0.000 0.000 0.000
Zn 0.167 0.834 0.500
Zn 0.336 0.663 0.000
Zn 0.664 0.337 0.000
Zn 0.833 0.166 0.500
Rh 0.500 0.500 0.500

Results
The calculated formation energy is -1.6 eV/f.u. Its excess energy over the best structure of this formula in the dataset is 11 meV/atom. The density of states at the Fermi level is 0.332 states/eV per atom. The value obtained for the total magnetization is 0.00 μB per cell. Its symmetry is P-1, No. 2.

=====

## TbDySe2 (PBE-GGA)

Data for a geometry-optimized TbDySe2 structure.

a = 7.467 Å, b = 7.467 Å, c = 7.467 Å
α = 30.93°, β = 30.93°, γ = 30.93°
Sites, in units of the cell vectors:
Tb 0.000 0.000 0.000
Dy 0.823 0.823 0.823
Se 0.243 0.243 0.243
Se 0.413 0.413 0.413

Results
Its excess energy over the best structure of this formula in the dataset is 4 meV/atom. The density of states at the Fermi level is 0.232 states/eV per atom. The value obtained for the total magnetization is 0.00 μB per cell. Its symmetry is R3m, No. 160. The formation energy without anion corrections is -1.7570 eV/atom.

=====

## LiMnIn2 (PBE-GGA)

Data for a geometry-optimized LiMnIn2 structure.

a = 4.797 Å, b = 4.797 Å, c = 3.197 Å
α = 90.00°, β = 90.00°, γ = 90.00°
Sites, in units of the cell vectors:
Li 0.000 0.000 0.000
Mn 0.500 0.500 0.000
In 0.000 0.500 0.500
In 0.500 0.000 0.500

Results
The calculated formation energy is -0.1 eV/f.u. The density of states at the Fermi level is 0.478 states/eV per atom. The value obtained for the total magnetization is 3.34 μB per cell. Its symmetry is P4/mmm, No. 123.

=====

## Dy2In (PBE-GGA)

Data for a geometry-optimized Dy2In structure.

a = 5.392 Å, b = 5.392 Å, c = 6.730 Å
α = 90.00°, β = 90.00°, γ = 120.00°
Sites, in units of the cell vectors:
Dy 0.000 0.000 0.000
Dy 0.000 0.000 0.500
Dy 0.333 0.667 0.250
Dy 0.667 0.333 0.750
In 0.333 0.667 0.750
In 0.667 0.333 0.250

Results
The calculated formation energy is -1.1 eV/f.u. The density of states at the Fermi level is 1.328 states/eV per atom. The value obtained for the total magnetization is 0.10 μB per cell. Its symmetry is P6_3/mmc, No. 194.

=====

## Na3Tl4Sn (PBE-GGA)

Data for a geometry-optimized Na3Tl4Sn structure.

a = 5.211 Å, b = 5.211 Å, c = 8.413 Å
α = 90.00°, β = 90.00°, γ = 90.00°
Sites, in units of the cell vectors:
Na 0.000 0.000 0.000
Na 0.000 0.000 0.500
Na 0.500 0.500 0.000
Tl 0.000 0.500 0.257
Tl 0.000 0.500 0.743
Tl 0.500 0.000 0.257
Tl 0.500 0.000 0.743
Sn 0.500 0.500 0.500

Results
The calculated formation energy is -0.9 eV/f.u. The density of states at the Fermi level is 0.408 states/eV per atom. The value obtained for the total magnetization is 0.00 μB per cell. Its symmetry is P4/mmm, No. 123.

=====

## KTi3Cl (PBE-GGA)

Data for a geometry-optimized KTi3Cl structure.

a = 4.827 Å, b = 4.827 Å, c = 4.827 Å
α = 90.00°, β = 90.00°, γ = 90.00°
Sites, in units of the cell vectors:
K 0.000 0.000 0.000
Ti 0.000 0.000 0.500
Ti 0.000 0.500 0.000
Ti 0.500 0.000 0.000
Cl 0.500 0.500 0.500

Results
Its excess energy over the best structure of this formula in the dataset is 1545 meV/atom. The density of states at the Fermi level is 1.403 states/eV per atom. The value obtained for the total magnetization is 3.01 μB per cell. Its symmetry is Pm-3m, No. 221. The formation energy without anion corrections is 2.1682 eV/atom.

=====

## Y2AlZnPt6 (PBE-GGA)

Data for a geometry-optimized Y2AlZnPt6 structure.

a = 8.299 Å, b = 8.299 Å, c = 8.299 Å
α = 39.28°, β = 39.28°, γ = 39.28°
Sites, in units of the cell vectors:
Y 0.203 0.203 0.203
Y 0.797 0.797 0.797
Al 0.000 0.000 0.000
Zn 0.500 0.500 0.500
Pt 0.250 0.250 0.748
Pt 0.250 0.748 0.250
Pt 0.252 0.750 0.750
Pt 0.748 0.250 0.250
Pt 0.750 0.252 0.750
Pt 0.750 0.750 0.252

Results
The calculated formation energy is -8.3 eV/f.u. The density of states at the Fermi level is 0.293 states/eV per atom. The value obtained for the total magnetization is 0.00 μB per cell. Its symmetry is R-3m, No. 166.

=====

## Hg2TeRh2 (PBE-GGA)

Data for a geometry-optimized Hg2TeRh2 structure.

a = 7.943 Å, b = 7.943 Å, c = 3.142 Å
α = 90.00°, β = 90.00°, γ = 90.00°
Sites, in units of the cell vectors:
Hg 0.132 0.368 0.000
Hg 0.368 0.868 0.000
Hg 0.632 0.132 0.000
Hg 0.868 0.632 0.000
Te 0.000 0.000 0.000
Te 0.500 0.500 0.000
Rh 0.165 0.665 0.500
Rh 0.335 0.165 0.500
Rh 0.665 0.835 0.500
Rh 0.835 0.335 0.500

Results
Its excess energy over the best structure of this formula in the dataset is 253 meV/atom. The density of states at the Fermi level is 0.788 states/eV per atom. The value obtained for the total magnetization is 0.00 μB per cell. Its symmetry is P4/mbm, No. 127. The formation energy without anion corrections is 0.3373 eV/atom.

=====

## Zr2AlP (PBE-GGA)

Data for a geometry-optimized Zr2AlP structure.

a = 3.151 Å, b = 3.151 Å, c = 7.856 Å
α = 90.00°, β = 90.00°, γ = 103.92°
Sites, in units of the cell vectors:
Zr 0.000 0.000 0.222
Zr 0.000 0.000 0.778
Al 0.500 0.500 0.500
P 0.500 0.500 0.000

Results
The calculated formation energy is -2.6 eV/f.u. Its excess energy over the best structure of this formula in the dataset is 201 meV/atom. The density of states at the Fermi level is 0.536 states/eV per atom. The value obtained for the total magnetization is 0.00 μB per cell. Its symmetry is Cmmm, No. 65.

=====

## SrAs2P (PBE-GGA)

Data for a geometry-optimized SrAs2P structure.

a = 5.667 Å, b = 5.667 Å, c = 5.667 Å
α = 143.33°, β = 124.22°, γ = 68.62°
Sites, in units of the cell vectors:
Sr 0.000 0.000 0.000
As 0.301 0.801 0.500
As 0.699 0.199 0.500
P 0.500 0.500 0.000

Results
The calculated formation energy is -1.2 eV/f.u. The density of states at the Fermi level is 0.462 states/eV per atom. The value obtained for the total magnetization is 0.00 μB per cell. Its symmetry is Immm, No. 71.

=====

## TiHgBi2 (PBE-GGA)

Data for a geometry-optimized TiHgBi2 structure.

a = 8.198 Å, b = 8.198 Å, c = 8.198 Å
α = 132.91°, β = 132.91°, γ = 68.79°
Sites, in units of the cell vectors:
Ti 0.000 0.000 0.000
Ti 0.750 0.250 0.500
Hg 0.250 0.750 0.500
Hg 0.500 0.500 0.000
Bi 0.093 0.625 0.968
Bi 0.375 0.343 0.468
Bi 0.657 0.125 0.032
Bi 0.875 0.907 0.532

Results
The calculated formation energy is 1.3 eV/f.u. The density of states at the Fermi level is 0.018 states/eV per atom. The value obtained for the total magnetization is 0.00 μB per cell. Its symmetry is I-42d, No. 122.

=====

## AcPm5PrTm2 (PBE-GGA)

Data for a geometry-optimized AcPm5PrTm2 structure.

a = 12.365 Å, b = 12.365 Å, c = 9.552 Å
α = 90.00°, β = 90.00°, γ = 153.79°
Sites, in units of the cell vectors:
Ac 0.102 0.898 0.500
Ac 0.898 0.102 0.000
Pm 0.025 0.975 0.172
Pm 0.103 0.897 0.891
Pm 0.188 0.812 0.196
Pm 0.241 0.759 0.569
Pm 0.493 0.507 0.390
Pm 0.507 0.493 0.890
Pm 0.759 0.241 0.069
Pm 0.812 0.188 0.696
Pm 0.897 0.103 0.391
Pm 0.975 0.025 0.672
Pr 0.266 0.734 0.891
Pr 0.734 0.266 0.391
Tm 0.328 0.672 0.256
Tm 0.388 0.612 0.631
Tm 0.612 0.388 0.131
Tm 0.672 0.328 0.756

Results
The calculated formation energy is 1.3 eV/f.u. The density of states at the Fermi level is 1.195 states/eV per atom. The value obtained for the total magnetization is 0.00 μB per cell. Its symmetry is Cmc2_1, No. 36.

=====

## Co4SbIr (PBE-GGA)

Data for a geometry-optimized Co4SbIr structure.

a = 4.813 Å, b = 4.813 Å, c = 4.813 Å
α = 60.00°, β = 60.00°, γ = 60.00°
Sites, in units of the cell vectors:
Co 0.125 0.125 0.125
Co 0.125 0.125 0.626
Co 0.125 0.626 0.125
Co 0.626 0.125 0.125
Sb 0.500 0.500 0.500
Ir 0.750 0.750 0.750

Results
The density of states at the Fermi level is 1.558 states/eV per atom. The value obtained for the total magnetization is 6.87 μB per cell. Its symmetry is F-43m, No. 216. The formation energy without anion corrections is 0.2381 eV/atom.

=====

## LaPm4Bi5 (PBE-GGA)

Data for a geometry-optimized LaPm4Bi5 structure.

a = 16.594 Å, b = 16.594 Å, c = 16.594 Å
α = 164.04°, β = 164.04°, γ = 22.65°
Sites, in units of the cell vectors:
La 0.000 0.000 0.000
Pm 0.201 0.201 0.000
Pm 0.399 0.399 0.000
Pm 0.601 0.601 0.000
Pm 0.799 0.799 0.000
Bi 0.101 0.101 0.000
Bi 0.300 0.300 0.000
Bi 0.500 0.500 0.000
Bi 0.700 0.700 0.000
Bi 0.899 0.899 0.000

Results
The calculated formation energy is -9.6 eV/f.u. The density of states at the Fermi level is 0.125 states/eV per atom. The value obtained for the total magnetization is 0.00 μB per cell. Its symmetry is I4/mmm, No. 139.

=====

## NdEr3Sn2 (PBE-GGA)

Data for a geometry-optimized NdEr3Sn2 structure.

a = 9.269 Å, b = 9.269 Å, c = 9.457 Å
α = 112.51°, β = 112.51°, γ = 28.57°
Sites, in units of the cell vectors:
Nd 0.115 0.115 0.135
Nd 0.885 0.885 0.865
Er 0.056 0.056 0.690
Er 0.307 0.307 0.112
Er 0.357 0.357 0.517
Er 0.643 0.643 0.483
Er 0.693 0.693 0.888
Er 0.944 0.944 0.310
Sn 0.242 0.242 0.711
Sn 0.488 0.488 0.146
Sn 0.512 0.512 0.854
Sn 0.758 0.758 0.289

Results
The calculated formation energy is -2.9 eV/f.u. The density of states at the Fermi level is 1.131 states/eV per atom. The value obtained for the total magnetization is 0.03 μB per cell. Its symmetry is C2/m, No. 12.